Record 1
Entry from Alexandria via LeMat-Bulk: La2MgBr after structural relaxation (PBE).

Its calculated volume is 33.54 Å³/atom. The uncorrected formation energy is -459 meV/atom. The polymorph energy (0 for the lowest one) is 166 meV/atom. The density of states at the Fermi level comes out at 4.30 states/eV/f.u.

It has space group P4mm (No. 99), with a = 3.661 Å, b = 3.661 Å, c = 10.012 Å, α = 90.00°, β = 90.00° and γ = 90.00°. Symmetry generates all atoms from La at (0.000, 0.000, 0.000), La at (0.500, 0.500, 0.288), Mg at (0.000, 0.000, 0.518) and Br at (0.500, 0.500, 0.802).


Record 2
Entry from Alexandria via LeMat-Bulk: LaMg2Br after structural relaxation (PBE).

Its calculated volume is 30.37 Å³/atom. The uncorrected formation energy is -285 meV/atom. The polymorph energy (0 for the lowest one) is 205 meV/atom. The density of states at the Fermi level comes out at 4.54 states/eV/f.u.

It has space group I-42d (No. 122), with a = 8.975 Å, b = 8.975 Å, c = 6.033 Å, α = 90.00°, β = 90.00° and γ = 90.00°. Symmetry generates all atoms from La at (0.000, 0.000, 0.000), Mg at (0.214, 0.250, 0.625) and Br at (0.000, 0.000, 0.500).


Record 3
Entry from Alexandria via LeMat-Bulk: LaMgBr after structural relaxation (PBE).

Its calculated volume is 33.24 Å³/atom. The uncorrected formation energy is -640 meV/atom. The polymorph energy (0 for the lowest one) is 57 meV/atom. The density of states at the Fermi level comes out at 3.65 states/eV/f.u.

It has space group I4mm (No. 107), with a = 3.641 Å, b = 3.641 Å, c = 15.039 Å, α = 90.00°, β = 90.00° and γ = 90.00°. Symmetry generates all atoms from La at (0.000, 0.000, 0.000), Mg at (0.000, 0.000, 0.339) and Br at (0.000, 0.000, 0.622).


Record 4
Entry from Alexandria via LeMat-Bulk: La2MgBr after structural relaxation (PBE).

Its calculated volume is 29.93 Å³/atom. The uncorrected formation energy is -29 meV/atom. The polymorph energy (0 for the lowest one) is 596 meV/atom. The density of states at the Fermi level comes out at 5.41 states/eV/f.u.

It has space group F-43m (No. 216), with a = 7.823 Å, b = 7.823 Å, c = 7.823 Å, α = 90.00°, β = 90.00° and γ = 90.00°. Symmetry generates all atoms from La at (0.000, 0.000, 0.000), La at (0.250, 0.250, 0.250), Mg at (0.000, 0.000, 0.500) and Br at (0.250, 0.250, 0.750).